# 1
VASP calculation (PBE) on AlInAsOs2 after structural relaxation.

Calculated values
energy relative to the elements	2284	meV per atom

abc: 4.926 4.926 4.849
angles: 90.00 90.00 90.00
Positions (direct):
Al (0.000, 0.000, 0.000)
In (0.500, 0.500, 0.500)
As (0.500, 0.500, 0.000)
Os (0.000, 0.500, 0.500)
Os (0.500, 0.000, 0.500)

---

# 2
VASP calculation (PBE) on PaTi3Te8 after structural relaxation.

Calculated values
formation energy from raw total energies	-692.4	meV per atom

abc: 7.847 7.847 8.585
angles: 117.86 117.86 60.11
Positions (direct):
Pa (0.000, 0.000, 0.000)
Ti (0.000, 0.500, 0.000)
Ti (0.500, 0.000, 0.000)
Ti (0.500, 0.500, 0.000)
Te (0.255, 0.255, 0.770)
Te (0.260, 0.260, 0.245)
Te (0.260, 0.730, 0.245)
Te (0.270, 0.740, 0.755)
Te (0.730, 0.260, 0.245)
Te (0.740, 0.270, 0.755)
Te (0.740, 0.740, 0.755)
Te (0.745, 0.745, 0.230)

---

# 3
VASP calculation (PBE) on MgCdInW2 after structural relaxation.

Calculated values
energy relative to the elements	2079	meV per atom

abc: 4.741 4.741 4.914
angles: 90.00 90.00 90.00
Positions (direct):
Mg (0.000, 0.000, 0.000)
Cd (0.500, 0.500, 0.500)
In (0.000, 0.000, 0.500)
W (0.000, 0.500, 0.000)
W (0.500, 0.000, 0.000)

---

# 4
VASP calculation (PBE) on Re2MoSe after structural relaxation.

Calculated values
formation energy from raw total energies	440.5	meV per atom

abc: 2.969 4.554 4.563
angles: 90.00 90.00 90.00
Positions (direct):
Re (0.000, 0.000, 0.000)
Re (0.500, 0.000, 0.500)
Mo (0.000, 0.500, 0.500)
Se (0.500, 0.500, 0.000)

---

Number 1: calculated total energy -22.2 eV per cell. Number 2: calculated total energy -66.6 eV per cell. Number 3: calculated total energy -20.8 eV per cell. Number 4: calculated total energy -37.4 eV per cell.